Record 1
First-principles (PBE-GGA) data for a geometry-optimized HfFe3Rh structure, as listed in Alexandria via LeMat-Bulk.

Lattice parameters (Å, degrees): 4.464 4.464 4.464 90.00 90.00 90.00
Sites, in units of the cell vectors:
Hf1 0.000 0.000 0.000
Fe1 0.000 0.000 0.500
Fe2 0.000 0.500 0.000
Fe3 0.500 0.000 0.000
Rh1 0.500 0.500 0.500

## Properties
The value obtained for the magnetization is 6.7 μB per formula unit. The formation energy comes out at 1.59 eV per atom. The calculation puts the energy above the most stable polymorph in this dataset at 305.8 meV/atom.

=====

Record 2
First-principles (PBE-GGA) data for a geometry-optimized Hf2FeRh2 structure, as listed in Alexandria via LeMat-Bulk.

Lattice parameters (Å, degrees): 6.538 6.538 4.036 90.00 90.00 90.00
Sites, in units of the cell vectors:
Hf1 0.174 0.326 0.000
Hf2 0.326 0.826 0.000
Hf3 0.674 0.174 0.000
Hf4 0.826 0.674 0.000
Fe1 0.000 0.000 0.500
Fe2 0.500 0.500 0.500
Rh1 0.141 0.641 0.500
Rh2 0.359 0.141 0.500
Rh3 0.641 0.859 0.500
Rh4 0.859 0.359 0.500

## Properties
The value obtained for the magnetization is 2.4 μB per formula unit. The formation energy comes out at -0.44 eV per atom.

=====

Record 3
First-principles (PBE-GGA) data for a geometry-optimized Hf3Fe2Rh structure, as listed in Alexandria via LeMat-Bulk.

Lattice parameters (Å, degrees): 3.194 3.194 9.508 90.00 90.00 90.00
Sites, in units of the cell vectors:
Hf1 0.000 0.000 0.000
Hf2 0.000 0.000 0.324
Hf3 0.000 0.000 0.676
Fe1 0.500 0.500 0.167
Fe2 0.500 0.500 0.833
Rh1 0.500 0.500 0.500

## Properties
The value obtained for the magnetization is 0.7 μB per formula unit. The formation energy comes out at -0.51 eV per atom.

=====

Record 4
First-principles (PBE-GGA) data for a geometry-optimized Hf4Fe3Rh structure, as listed in Alexandria via LeMat-Bulk.

Lattice parameters (Å, degrees): 3.190 4.492 8.932 90.00 90.00 90.00
Sites, in units of the cell vectors:
Hf1 0.000 0.000 0.000
Hf2 0.000 0.000 0.500
Hf3 0.000 0.500 0.241
Hf4 0.000 0.500 0.759
Fe1 0.500 0.000 0.250
Fe2 0.500 0.000 0.750
Fe3 0.500 0.500 0.000
Rh1 0.500 0.500 0.500

## Properties
The value obtained for the magnetization is 1.0 μB per formula unit. The formation energy comes out at -0.46 eV per atom.

=====

Record 5
First-principles (PBE-GGA) data for a geometry-optimized HfFe2Rh2 structure, as listed in Alexandria via LeMat-Bulk.

Lattice parameters (Å, degrees): 7.164 7.164 2.890 90.00 90.00 90.00
Sites, in units of the cell vectors:
Hf1 0.000 0.000 0.000
Hf2 0.500 0.500 0.000
Fe1 0.139 0.361 0.000
Fe2 0.361 0.861 0.000
Fe3 0.639 0.139 0.000
Fe4 0.861 0.639 0.000
Rh1 0.159 0.659 0.500
Rh2 0.341 0.159 0.500
Rh3 0.659 0.841 0.500
Rh4 0.841 0.341 0.500

## Properties
The value obtained for the magnetization is 6.0 μB per formula unit. The formation energy comes out at -0.17 eV per atom. The calculation puts the energy above the most stable polymorph in this dataset at 0.0 meV/atom.

=====

Record 6
First-principles (PBE-GGA) data for a geometry-optimized Hf3FeRh structure, as listed in Alexandria via LeMat-Bulk.

Lattice parameters (Å, degrees): 4.682 4.682 4.682 90.00 90.00 90.00
Sites, in units of the cell vectors:
Hf1 0.000 0.000 0.500
Hf2 0.000 0.500 0.000
Hf3 0.500 0.000 0.000
Fe1 0.000 0.000 0.000
Rh1 0.500 0.500 0.500

## Properties
The value obtained for the magnetization is 0.0 μB per formula unit. The formation energy comes out at 0.23 eV per atom. The calculation puts the energy above the most stable polymorph in this dataset at 0.0 meV/atom.

=====

Record 7
First-principles (PBE-GGA) data for a geometry-optimized Hf12Fe6Rh structure, as listed in Alexandria via LeMat-Bulk.

Lattice parameters (Å, degrees): 7.645 7.645 7.645 109.47 109.47 109.47
Sites, in units of the cell vectors:
Hf1 0.095 0.289 0.806
Hf2 0.194 0.482 0.289
Hf3 0.194 0.905 0.711
Hf4 0.289 0.194 0.482
Hf5 0.289 0.806 0.095
Hf6 0.482 0.289 0.194
Hf7 0.518 0.711 0.806
Hf8 0.711 0.194 0.905
Hf9 0.711 0.806 0.518
Hf10 0.806 0.095 0.289
Hf11 0.806 0.518 0.711
Hf12 0.905 0.711 0.194
Fe1 0.120 0.500 0.620
Fe2 0.380 0.880 0.500
Fe3 0.500 0.380 0.880
Fe4 0.500 0.620 0.120
Fe5 0.620 0.120 0.500
Fe6 0.880 0.500 0.380
Rh1 0.000 0.000 0.000

## Properties
The value obtained for the magnetization is 0.0 μB per formula unit. The formation energy comes out at -0.21 eV per atom.

=====

Record 8
First-principles (PBE-GGA) data for a geometry-optimized HfFeRh2 structure, as listed in Alexandria via LeMat-Bulk.

Lattice parameters (Å, degrees): 9.082 9.082 9.082 155.09 155.09 35.51
Sites, in units of the cell vectors:
Hf1 0.000 0.000 0.000
Hf2 0.750 0.250 0.500
Fe1 0.250 0.750 0.500
Fe2 0.500 0.500 0.000
Rh1 0.153 0.625 0.028
Rh2 0.375 0.403 0.528
Rh3 0.597 0.125 0.972
Rh4 0.875 0.847 0.472

## Properties
The value obtained for the magnetization is 2.3 μB per formula unit. The formation energy comes out at 0.02 eV per atom.